## PtWC3 (PBE)

Data for a relaxed PtWC3 crystal.

Summary:
ΔE to the lowest computed polymorph = 655 meV/atom
E_tot = -6.53 eV/atom
spin magnetization = 0.00 μB/f.u.
Fermi-level density of states = 0.77 states/eV/atom

Cell lengths 3.945, 3.945, 3.945 Å; angles 90.00, 90.00, 90.00 degrees
Space group Pm-3m (No. 221)
One atom of each set of equivalent atoms:
Pt (0.000, 0.000, 0.000) (multiplicity 1)
W (0.500, 0.500, 0.500) (multiplicity 1)
C (0.000, 0.000, 0.500) (multiplicity 3)

---

## Er7Cu2Ag2 (PBE)

Data for a relaxed Er7Cu2Ag2 crystal.

Summary:
E_tot = -4.15 eV/atom
spin magnetization = 0.00 μB/f.u.
Fermi-level density of states = 1.15 states/eV/atom

Cell lengths 7.617, 10.865, 7.090 Å; angles 90.00, 90.00, 90.00 degrees
Space group Cmmm (No. 65)
One atom of each set of equivalent atoms:
Er (0.000, 0.000, 0.000) (multiplicity 2)
Er (0.000, 0.500, 0.249) (multiplicity 4)
Er (0.250, 0.250, 0.262) (multiplicity 8)
Cu (0.000, 0.297, 0.000) (multiplicity 4)
Ag (0.181, 0.000, 0.500) (multiplicity 4)

---

## TbNd12Al4O3 (PBE)

Data for a relaxed TbNd12Al4O3 crystal.

Summary:
E_tot = -5.25 eV/atom
spin magnetization = 0.00 μB/f.u.
Fermi-level density of states = 0.78 states/eV/atom

Cell lengths 10.200, 10.200, 10.200 Å; angles 90.00, 90.00, 90.00 degrees
Space group Im-3m (No. 229)
One atom of each set of equivalent atoms:
Tb (0.000, 0.000, 0.000) (multiplicity 2)
Nd (0.000, 0.000, 0.273) (multiplicity 12)
Nd (0.000, 0.250, 0.500) (multiplicity 12)
Al (0.250, 0.250, 0.250) (multiplicity 8)
O (0.000, 0.000, 0.500) (multiplicity 6)

---

Repeat the first record exactly.
## PtWC3 (PBE)

Data for a relaxed PtWC3 crystal.

Summary:
ΔE to the lowest computed polymorph = 655 meV/atom
E_tot = -6.53 eV/atom
spin magnetization = 0.00 μB/f.u.
Fermi-level density of states = 0.77 states/eV/atom

Cell lengths 3.945, 3.945, 3.945 Å; angles 90.00, 90.00, 90.00 degrees
Space group Pm-3m (No. 221)
One atom of each set of equivalent atoms:
Pt (0.000, 0.000, 0.000) (multiplicity 1)
W (0.500, 0.500, 0.500) (multiplicity 1)
C (0.000, 0.000, 0.500) (multiplicity 3)

---

Copy entry 2 word for word.
## Er7Cu2Ag2 (PBE)

Data for a relaxed Er7Cu2Ag2 crystal.

Summary:
E_tot = -4.15 eV/atom
spin magnetization = 0.00 μB/f.u.
Fermi-level density of states = 1.15 states/eV/atom

Cell lengths 7.617, 10.865, 7.090 Å; angles 90.00, 90.00, 90.00 degrees
Space group Cmmm (No. 65)
One atom of each set of equivalent atoms:
Er (0.000, 0.000, 0.000) (multiplicity 2)
Er (0.000, 0.500, 0.249) (multiplicity 4)
Er (0.250, 0.250, 0.262) (multiplicity 8)
Cu (0.000, 0.297, 0.000) (multiplicity 4)
Ag (0.181, 0.000, 0.500) (multiplicity 4)